Record 1
MgPdO3: relaxed, PBE-GGA.

As for the space group: Pm-3m, No. 221. The uncorrected formation energy comes out at -243 meV per atom.

Structure (CIF):
```
data_MgPdO3
_cell_length_a 3.788
_cell_length_b 3.788
_cell_length_c 3.788
_cell_angle_alpha 90.00
_cell_angle_beta 90.00
_cell_angle_gamma 90.00
_space_group_name_H-M_alt 'P 1'
_space_group_IT_number 1
loop_
_space_group_symop_operation_xyz
'x,y,z'
loop_
_atom_site_label
_atom_site_type_symbol
_atom_site_fract_x
_atom_site_fract_y
_atom_site_fract_z
Mg1 Mg 0.000 0.000 0.000
O1 O 0.000 0.000 0.500
O2 O 0.000 0.500 0.000
O3 O 0.500 0.000 0.000
Pd1 Pd 0.500 0.500 0.500
```

Record 2
Nd2TmPdO5: relaxed, PBE-GGA.

As for the space group: P4/mbm, No. 127. The uncorrected formation energy comes out at -2348 meV per atom.

Structure (CIF):
```
data_Nd2TmPdO5
_cell_length_a 5.909
_cell_length_b 6.578
_cell_length_c 6.578
_cell_angle_alpha 90.00
_cell_angle_beta 90.00
_cell_angle_gamma 90.00
_space_group_name_H-M_alt 'P 1'
_space_group_IT_number 1
loop_
_space_group_symop_operation_xyz
'x,y,z'
loop_
_atom_site_label
_atom_site_type_symbol
_atom_site_fract_x
_atom_site_fract_y
_atom_site_fract_z
O1 O 0.233 0.171 0.671
O2 O 0.767 0.671 0.829
O3 O 0.233 0.829 0.329
O4 O 0.767 0.329 0.171
O5 O 0.500 0.000 0.000
O6 O 0.767 0.829 0.329
O7 O 0.500 0.500 0.500
O8 O 0.767 0.171 0.671
O9 O 0.233 0.329 0.171
O10 O 0.233 0.671 0.829
Tm1 Tm 0.000 0.500 0.500
Tm2 Tm 0.000 0.000 0.000
Nd1 Nd 0.500 0.162 0.338
Nd2 Nd 0.500 0.838 0.662
Nd3 Nd 0.500 0.338 0.838
Nd4 Nd 0.500 0.662 0.162
Pd1 Pd 0.000 0.000 0.500
Pd2 Pd 0.000 0.500 0.000
```

Record 3
La12Pr3Sc: relaxed, PBE-GGA.

As for the space group: P4/mmm, No. 123. The formation energy is 0.014 eV/atom.

Structure (CIF):
```
data_La12Pr3Sc
_cell_length_a 5.219
_cell_length_b 5.219
_cell_length_c 20.914
_cell_angle_alpha 90.00
_cell_angle_beta 90.00
_cell_angle_gamma 90.00
_space_group_name_H-M_alt 'P 1'
_space_group_IT_number 1
loop_
_space_group_symop_operation_xyz
'x,y,z'
loop_
_atom_site_label
_atom_site_type_symbol
_atom_site_fract_x
_atom_site_fract_y
_atom_site_fract_z
La1 La 0.000 0.500 0.120
La2 La 0.500 0.500 0.000
La3 La 0.000 0.500 0.627
La4 La 0.500 0.500 0.500
La5 La 0.500 0.000 0.373
La6 La 0.500 0.000 0.880
La7 La 0.500 0.000 0.627
La8 La 0.000 0.500 0.880
La9 La 0.500 0.500 0.753
La10 La 0.500 0.000 0.120
La11 La 0.500 0.500 0.247
La12 La 0.000 0.500 0.373
Pr1 Pr 0.000 0.000 0.246
Pr2 Pr 0.000 0.000 0.754
Pr3 Pr 0.000 0.000 0.500
Sc1 Sc 0.000 0.000 0.000
```

Record 4
Cd3BRh: relaxed, PBE-GGA.

As for the space group: Pm-3m, No. 221. The formation energy is 1.150 eV/atom. Its energy above the most stable polymorph in this dataset is 543.7 meV/atom.

Structure (CIF):
```
data_Cd3BRh
_cell_length_a 5.125
_cell_length_b 5.125
_cell_length_c 5.125
_cell_angle_alpha 90.00
_cell_angle_beta 90.00
_cell_angle_gamma 90.00
_space_group_name_H-M_alt 'P 1'
_space_group_IT_number 1
loop_
_space_group_symop_operation_xyz
'x,y,z'
loop_
_atom_site_label
_atom_site_type_symbol
_atom_site_fract_x
_atom_site_fract_y
_atom_site_fract_z
Rh1 Rh 0.000 0.000 0.000
Cd1 Cd 0.000 0.000 0.500
Cd2 Cd 0.500 0.000 0.000
Cd3 Cd 0.000 0.500 0.000
B1 B 0.500 0.500 0.500
```